## LiMn5O8 (GGA+U)

Data for a relaxed LiMn5O8 crystal.

Lattice parameters (Å, degrees): 8.5392 8.5392 8.5392 90.00 90.00 90.00
Last column: nearest neighbours and their distance in Å.
Sites, in units of the cell vectors:
Li: 0.1250 0.1250 0.1250  6 O 2.16
Li: 0.3750 0.8750 0.6250  6 O 2.16
Li: 0.6250 0.3750 0.8750  6 O 2.16
Li: 0.8750 0.6250 0.3750  6 O 2.16
Mn: 0.0022 0.9978 0.4978  4 O 2.02-2.07
Mn: 0.1243 0.3750 0.3743  6 O 1.94-2.03
Mn: 0.1250 0.6257 0.6243  6 O 1.94-2.03
Mn: 0.1257 0.8757 0.8750  6 O 1.94-2.03
Mn: 0.2478 0.7522 0.2522  4 O 2.02-2.07
Mn: 0.2522 0.2478 0.7522  4 O 2.02-2.07
Mn: 0.3743 0.1243 0.3750  6 O 1.94-2.03
Mn: 0.3750 0.3743 0.1243  6 O 1.94-2.03
Mn: 0.3757 0.6250 0.8743  6 O 1.94-2.03
Mn: 0.4978 0.0022 0.9978  4 O 2.02-2.07
Mn: 0.5022 0.5022 0.5022  4 O 2.02-2.07
Mn: 0.6243 0.1250 0.6257  6 O 1.94-2.03
Mn: 0.6250 0.8743 0.3757  6 O 1.94-2.03
Mn: 0.6257 0.6243 0.1250  6 O 1.94-2.03
Mn: 0.7478 0.7478 0.7478  4 O 2.02-2.07
Mn: 0.7522 0.2522 0.2478  4 O 2.02-2.07
Mn: 0.8743 0.3757 0.6250  6 O 1.94-2.03
Mn: 0.8750 0.1257 0.8757  6 O 1.94-2.03
Mn: 0.8757 0.8750 0.1257  6 O 1.94-2.03
Mn: 0.9978 0.4978 0.0022  4 O 2.02-2.07
O: 0.1028 0.8731 0.1099  3 Mn 1.94-2.02, 1 Li 2.16
O: 0.1099 0.1028 0.8731  3 Mn 1.94-2.02, 1 Li 2.16
O: 0.1119 0.3881 0.6119  4 Mn 2.03-2.07
O: 0.1231 0.8528 0.6401  3 Mn 1.94-2.02, 1 Li 2.16
O: 0.1269 0.6099 0.3972  3 Mn 1.94-2.02, 1 Li 2.16
O: 0.1381 0.6381 0.8619  4 Mn 2.03-2.07
O: 0.1401 0.3769 0.1472  3 Mn 1.94-2.02, 1 Li 2.16
O: 0.1472 0.1401 0.3769  3 Mn 1.94-2.02, 1 Li 2.16
O: 0.3528 0.8599 0.8769  3 Mn 1.94-2.02, 1 Li 2.16
O: 0.3599 0.6231 0.6472  3 Mn 1.94-2.02, 1 Li 2.16
O: 0.3619 0.3619 0.3619  4 Mn 2.03-2.07
O: 0.3731 0.3901 0.8972  3 Mn 1.94-2.02, 1 Li 2.16
O: 0.3769 0.1472 0.1401  3 Mn 1.94-2.02, 1 Li 2.16
O: 0.3881 0.6119 0.1119  4 Mn 2.03-2.07
O: 0.3901 0.8972 0.3731  3 Mn 1.94-2.02, 1 Li 2.16
O: 0.3972 0.1269 0.6099  3 Mn 1.94-2.02, 1 Li 2.16
O: 0.6028 0.6269 0.8901  3 Mn 1.94-2.02, 1 Li 2.16
O: 0.6099 0.3972 0.1269  3 Mn 1.94-2.02, 1 Li 2.16
O: 0.6119 0.1119 0.3881  4 Mn 2.03-2.07
O: 0.6231 0.6472 0.3599  3 Mn 1.94-2.02, 1 Li 2.16
O: 0.6269 0.8901 0.6028  3 Mn 1.94-2.02, 1 Li 2.16
O: 0.6381 0.8619 0.1381  4 Mn 2.03-2.07
O: 0.6401 0.1231 0.8528  3 Mn 1.94-2.02, 1 Li 2.16
O: 0.6472 0.3599 0.6231  3 Mn 1.94-2.02, 1 Li 2.16
O: 0.8528 0.6401 0.1231  3 Mn 1.94-2.02, 1 Li 2.16
O: 0.8599 0.8769 0.3528  3 Mn 1.94-2.02, 1 Li 2.16
O: 0.8619 0.1381 0.6381  4 Mn 2.03-2.07
O: 0.8731 0.1099 0.1028  3 Mn 1.94-2.02, 1 Li 2.16
O: 0.8769 0.3528 0.8599  3 Mn 1.94-2.02, 1 Li 2.16
O: 0.8881 0.8881 0.8881  4 Mn 2.03-2.07
O: 0.8901 0.6028 0.6269  3 Mn 1.94-2.02, 1 Li 2.16
O: 0.8972 0.3731 0.3901  3 Mn 1.94-2.02, 1 Li 2.16

Computed properties:
The value obtained for the density of states at the Fermi level is 0.241 states/eV/atom. The spin magnetization comes out at 1.429 μB/atom. For the total energy, the calculation gives -7.26 eV per atom. As for the offset from the most stable computed form: 0.000 eV per formula unit. The crystal system is cubic.